1.
DFT (PBE-GGA) results for a geometry-optimized BaAl2Au4 structure.

Properties
E   -3.6887 eV/atom
Energy of formation from the pure elements   -0.472 eV/atom

Lattice parameters (Å, degrees): 19.9726 4.4286 7.1743 90.00 90.00 90.00
Fractional positions:
Ba 0.1371 0.2500 0.0566
Ba 0.3629 0.7500 0.5566
Ba 0.6371 0.2500 0.4434
Ba 0.8629 0.7500 0.9434
Al 0.0313 0.7500 0.7036
Al 0.2053 0.2500 0.4968
Al 0.2947 0.7500 0.9968
Al 0.4687 0.2500 0.2036
Al 0.5313 0.7500 0.7964
Al 0.7053 0.2500 0.0032
Al 0.7947 0.7500 0.5032
Al 0.9687 0.2500 0.2964
Au 0.0082 0.7500 0.1257
Au 0.0737 0.2500 0.5278
Au 0.1642 0.7500 0.6803
Au 0.2301 0.7500 0.3060
Au 0.2699 0.2500 0.8060
Au 0.3358 0.2500 0.1803
Au 0.4263 0.7500 0.0278
Au 0.4918 0.2500 0.6257
Au 0.5082 0.7500 0.3743
Au 0.5737 0.2500 0.9722
Au 0.6642 0.7500 0.8197
Au 0.7301 0.7500 0.1940
Au 0.7699 0.2500 0.6940
Au 0.8358 0.2500 0.3197
Au 0.9263 0.7500 0.4722
Au 0.9918 0.2500 0.8743

=====

2.
DFT (PBE-GGA) results for a geometry-optimized Ba3Al4Au4 structure.

Properties
E   -3.6556 eV/atom
Energy of formation from the pure elements   -0.579 eV/atom

Lattice parameters (Å, degrees): 7.1643 7.1643 7.1643 109.47 109.47 109.47
Fractional positions:
Ba 0.0000 0.5000 0.5000
Ba 0.5000 0.0000 0.5000
Ba 0.5000 0.5000 0.0000
Al 0.0000 0.0000 0.2595
Al 0.0000 0.2595 0.0000
Al 0.2595 0.0000 0.0000
Al 0.7405 0.7405 0.7405
Au 0.0000 0.0000 0.6235
Au 0.0000 0.6235 0.0000
Au 0.3765 0.3765 0.3765
Au 0.6235 0.0000 0.0000

=====

3.
DFT (PBE-GGA) results for a geometry-optimized BaAl6Au12 structure.

Properties
E   -3.6625 eV/atom
Energy of formation from the pure elements   -0.309 eV/atom

Lattice parameters (Å, degrees): 8.1549 8.1549 8.1549 112.10 112.10 112.10
Fractional positions:
Ba 0.0000 0.0000 0.0000
Al 0.0250 0.2989 0.5405
Al 0.2989 0.5405 0.0250
Al 0.4595 0.9750 0.7011
Al 0.5405 0.0250 0.2989
Al 0.7011 0.4595 0.9750
Al 0.9750 0.7011 0.4595
Au 0.1298 0.7264 0.1905
Au 0.1905 0.1298 0.7264
Au 0.1934 0.5250 0.4196
Au 0.2736 0.8095 0.8702
Au 0.4196 0.1934 0.5250
Au 0.4750 0.5804 0.8066
Au 0.5250 0.4196 0.1934
Au 0.5804 0.8066 0.4750
Au 0.7264 0.1905 0.1298
Au 0.8066 0.4750 0.5804
Au 0.8095 0.8702 0.2736
Au 0.8702 0.2736 0.8095

=====

4.
DFT (PBE-GGA) results for a geometry-optimized BaAlAu2 structure.

Properties
E   -3.4270 eV/atom
Energy of formation from the pure elements   -0.372 eV/atom

Lattice parameters (Å, degrees): 3.4117 3.4117 7.8823 90.00 90.00 90.00
Fractional positions:
Ba 0.0000 0.0000 0.0000
Al 0.0000 0.0000 0.5000
Au 0.5000 0.5000 0.3141
Au 0.5000 0.5000 0.6859

=====

Question: The highest E belongs to which entry?
Answer: BaAlAu2

=====

Question: The lowest energy of formation from the pure elements belongs to which entry?
Answer: Ba3Al4Au4

=====

Question: Among the records above, which one has the lowest E?
Answer: BaAl2Au4